This record from Alexandria via LeMat-Bulk describes an optimized crystal structure of Dy2PuTe4. The functional is PBE.

Uncorrected energy: -6.4150 eV/atom
Density: 8.8 Mg/m³
Energy relative to the lowest polymorph listed for this composition: 9 meV/atom
DOS at the Fermi energy: 50.11 states/eV/cell

CIF file:
```
data_Dy2PuTe4
_chemical_formula_sum 'Dy8 Pu4 Te16'
_space_group_name_H-M_alt 'I -4 2 d'
_space_group_IT_number 122
_space_group_name_Hall 'I -4 2bw'
_cell_length_a 9.3825
_cell_length_b 9.3825
_cell_length_c 9.2662
_cell_angle_alpha 90.00
_cell_angle_beta 90.00
_cell_angle_gamma 90.00
loop_
_atom_site_label
_atom_site_type_symbol
_atom_site_fract_x
_atom_site_fract_y
_atom_site_fract_z
Dy1 Dy 0.1286 0.7500 0.1250
Pu1 Pu 0.0000 0.0000 0.5000
Te1 Te 0.0746 0.6746 0.4456
```

---

This record from Alexandria via LeMat-Bulk describes an optimized crystal structure of Dy3PuTe6. The functional is PBE.

Uncorrected energy: -5.9729 eV/atom
Density: 7.6 Mg/m³
DOS at the Fermi energy: 26.43 states/eV/cell

CIF file:
```
data_Dy3PuTe6
_chemical_formula_sum 'Dy6 Pu2 Te12'
_space_group_name_H-M_alt 'P 1 21/m 1'
_space_group_IT_number 11
_space_group_name_Hall '-P 2yb'
_cell_length_a 12.4920
_cell_length_b 4.3664
_cell_length_c 12.7936
_cell_angle_alpha 90.00
_cell_angle_beta 109.36
_cell_angle_gamma 90.00
loop_
_atom_site_label
_atom_site_type_symbol
_atom_site_fract_x
_atom_site_fract_y
_atom_site_fract_z
Dy1 Dy 0.0682 0.2500 0.1650
Dy2 Dy 0.1818 0.7500 0.5019
Dy3 Dy 0.3460 0.2500 0.9211
Pu1 Pu 0.4547 0.2500 0.3067
Te1 Te 0.0163 0.2500 0.3815
Te2 Te 0.1072 0.2500 0.9376
Te3 Te 0.2463 0.7500 0.2790
Te4 Te 0.3054 0.7500 0.7505
Te5 Te 0.3850 0.2500 0.5355
Te6 Te 0.4161 0.7500 0.1013
```

---

This record from Alexandria via LeMat-Bulk describes an optimized crystal structure of Dy3PuTe4. The functional is PBE.

Uncorrected energy: -6.3423 eV/atom
Density: 8.7 Mg/m³
DOS at the Fermi energy: 21.64 states/eV/cell

CIF file:
```
data_Dy3PuTe4
_chemical_formula_sum 'Dy6 Pu2 Te8'
_space_group_name_H-M_alt 'I 4/m m m'
_space_group_IT_number 139
_space_group_name_Hall '-I 4 2'
_cell_length_a 6.1775
_cell_length_b 6.1775
_cell_length_c 12.3703
_cell_angle_alpha 90.00
_cell_angle_beta 90.00
_cell_angle_gamma 90.00
loop_
_atom_site_label
_atom_site_type_symbol
_atom_site_fract_x
_atom_site_fract_y
_atom_site_fract_z
Dy1 Dy 0.0000 0.0000 0.0000
Dy2 Dy 0.0000 0.5000 0.2500
Pu1 Pu 0.0000 0.0000 0.5000
Te1 Te 0.0000 0.0000 0.2484
Te2 Te 0.0000 0.5000 0.0000
```

---

This record from Alexandria via LeMat-Bulk describes an optimized crystal structure of DyPuTe3. The functional is PBE.

Uncorrected energy: -6.7896 eV/atom
Density: 8.2 Mg/m³
Energy relative to the lowest polymorph listed for this composition: 0 meV/atom
DOS at the Fermi energy: 24.43 states/eV/cell

CIF file:
```
data_DyPuTe3
_chemical_formula_sum 'Dy2 Pu2 Te6'
_space_group_name_H-M_alt 'P m m n'
_space_group_IT_number 59
_cell_length_a 4.3371
_cell_length_b 7.5925
_cell_length_c 9.7353
_cell_angle_alpha 90.00
_cell_angle_beta 90.00
_cell_angle_gamma 90.00
loop_
_space_group_symop_operation_xyz
'x,y,z'
'-x,-y,-z'
'-x+1/2,-y+1/2,z'
'x+1/2,y+1/2,-z'
'x+1/2,-y,-z'
'-x+1/2,y,z'
'-x,y+1/2,-z'
'x,-y+1/2,z'
loop_
_atom_site_label
_atom_site_type_symbol
_atom_site_fract_x
_atom_site_fract_y
_atom_site_fract_z
Dy1 Dy 0.2500 0.2500 0.1025
Pu1 Pu 0.2500 0.7500 0.3436
Te1 Te 0.2500 0.0232 0.8309
Te2 Te 0.2500 0.2500 0.4319
```

---

This record from Alexandria via LeMat-Bulk describes an optimized crystal structure of Dy6PuTe8. The functional is PBE.

Uncorrected energy: -5.7867 eV/atom
Density: 8.0 Mg/m³
DOS at the Fermi energy: 79.97 states/eV/cell

CIF file:
```
data_Dy6PuTe8
_chemical_formula_sum 'Dy24 Pu4 Te32'
_space_group_name_H-M_alt 'F m -3 m'
_space_group_IT_number 225
_space_group_name_Hall '-F 4 2 3'
_cell_length_a 12.2913
_cell_length_b 12.2913
_cell_length_c 12.2913
_cell_angle_alpha 90.00
_cell_angle_beta 90.00
_cell_angle_gamma 90.00
loop_
_atom_site_label
_atom_site_type_symbol
_atom_site_fract_x
_atom_site_fract_y
_atom_site_fract_z
Dy1 Dy 0.0000 0.2500 0.2500
Pu1 Pu 0.0000 0.0000 0.0000
Te1 Te 0.0000 0.0000 0.2586
Te2 Te 0.2500 0.2500 0.2500
```

---

This record from Alexandria via LeMat-Bulk describes an optimized crystal structure of DyPuTe3. The functional is PBE.

Uncorrected energy: -6.7020 eV/atom
Density: 8.1 Mg/m³
Energy relative to the lowest polymorph listed for this composition: 88 meV/atom
DOS at the Fermi energy: 48.55 states/eV/cell

CIF file:
```
data_DyPuTe3
_chemical_formula_sum 'Dy4 Pu4 Te12'
_space_group_name_H-M_alt 'I m m a'
_space_group_IT_number 74
_space_group_name_Hall '-I 2b 2'
_cell_length_a 6.0008
_cell_length_b 11.1931
_cell_length_c 9.6487
_cell_angle_alpha 90.00
_cell_angle_beta 90.00
_cell_angle_gamma 90.00
loop_
_atom_site_label
_atom_site_type_symbol
_atom_site_fract_x
_atom_site_fract_y
_atom_site_fract_z
Dy1 Dy 0.0000 0.0000 0.0000
Pu1 Pu 0.0000 0.2500 0.4445
Te1 Te 0.0000 0.0394 0.6649
Te2 Te 0.0000 0.2500 0.1080
```